# TiGeRh | Alexandria | PBEsol | optimized geometry
data_TiGeRh
_chemical_formula_sum 'Ti12 Ge12 Rh12'
_cell_length_a 7.101
_cell_length_b 11.280
_cell_length_c 6.571
_cell_angle_alpha 90.00
_cell_angle_beta 90.00
_cell_angle_gamma 90.00
_symmetry_space_group_name_H-M 'I m a 2'
_symmetry_Int_Tables_number 46
_symmetry_space_group_name_Hall 'I 2 -2a'
loop_
_atom_site_label
_atom_site_type_symbol
_atom_site_fract_x
_atom_site_fract_y
_atom_site_fract_z
Ti1 Ti 0.250 0.002 0.000
Ti2 Ti 0.250 0.227 0.649
Ti3 Ti 0.250 0.693 0.116
Ge1 Ge 0.006 0.668 0.418
Ge2 Ge 0.250 0.039 0.413
Rh1 Rh 0.000 0.000 0.673
Rh2 Rh 0.045 0.626 0.787
# Raw total energy (eV/atom): -7.962
# Calculated formation energy (meV/atom): -829

# Sb2As | Alexandria | PBEsol | optimized geometry
data_Sb2As
_chemical_formula_sum 'Sb2 As1'
_cell_length_a 4.1563
_cell_length_b 4.1563
_cell_length_c 5.1112
_cell_angle_alpha 90.00
_cell_angle_beta 90.00
_cell_angle_gamma 120.00
_symmetry_space_group_name_H-M 'P -3 m 1'
_symmetry_Int_Tables_number 164
_symmetry_space_group_name_Hall '-P 3 2"'
loop_
_atom_site_label
_atom_site_type_symbol
_atom_site_fract_x
_atom_site_fract_y
_atom_site_fract_z
Sb1 Sb 0.3333 0.6667 0.3179
As1 As 0.0000 0.0000 0.0000
# Raw formation energy (eV/atom): 0.04
# Raw total energy (eV/atom): -4.699

# MgBeZn2 | Alexandria | PBEsol | optimized geometry
data_MgBeZn2
_chemical_formula_sum 'Mg4 Be4 Zn8'
_cell_length_a 3.910
_cell_length_b 3.910
_cell_length_c 16.997
_cell_angle_alpha 90.00
_cell_angle_beta 90.00
_cell_angle_gamma 90.00
_symmetry_space_group_name_H-M 'I -4 2 d'
_symmetry_Int_Tables_number 122
_symmetry_space_group_name_Hall 'I -4 2bw'
loop_
_atom_site_label
_atom_site_type_symbol
_atom_site_fract_x
_atom_site_fract_y
_atom_site_fract_z
Mg1 Mg 0.000 0.000 0.000
Be1 Be 0.000 0.000 0.500
Zn1 Zn 0.193 0.250 0.625
# Raw total energy (eV/atom): -1.862
# Calculated formation energy (meV/atom): 358

# YHoIn2 | Alexandria | PBEsol | optimized geometry
data_YHoIn2
_chemical_formula_sum 'Y4 Ho4 In8'
_cell_length_a 7.375
_cell_length_b 7.375
_cell_length_c 7.375
_cell_angle_alpha 90.00
_cell_angle_beta 90.00
_cell_angle_gamma 90.00
_symmetry_space_group_name_H-M 'F m -3 m'
_symmetry_Int_Tables_number 225
_symmetry_space_group_name_Hall '-F 4 2 3'
loop_
_atom_site_label
_atom_site_type_symbol
_atom_site_fract_x
_atom_site_fract_y
_atom_site_fract_z
Y1 Y 0.000 0.000 0.000
Ho1 Ho 0.000 0.000 0.500
In1 In 0.250 0.250 0.250
# Raw total energy (eV/atom): -4.966
# Calculated formation energy (meV/atom): -532

# OsS2N | Alexandria | PBEsol | optimized geometry
data_OsS2N
_chemical_formula_sum 'Os3 S6 N3'
_cell_length_a 3.5659
_cell_length_b 3.5659
_cell_length_c 16.2665
_cell_angle_alpha 90.00
_cell_angle_beta 90.00
_cell_angle_gamma 120.00
_symmetry_space_group_name_H-M 'R -3 m'
_symmetry_Int_Tables_number 166
_symmetry_space_group_name_Hall '-R 3 2"'
loop_
_atom_site_label
_atom_site_type_symbol
_atom_site_fract_x
_atom_site_fract_y
_atom_site_fract_z
Os1 Os 0.0000 0.0000 0.0000
S1 S 0.0000 0.0000 0.4038
N1 N 0.0000 0.0000 0.5000
# Raw formation energy (eV/atom): 0.39
# Raw total energy (eV/atom): -6.992

# Rb2Mg2W3O12 | Alexandria | PBEsol | optimized geometry
data_Rb2Mg2W3O12
_chemical_formula_sum 'Rb8 Mg8 W12 O48'
_cell_length_a 10.863
_cell_length_b 10.863
_cell_length_c 10.863
_cell_angle_alpha 90.00
_cell_angle_beta 90.00
_cell_angle_gamma 90.00
_symmetry_space_group_name_H-M 'P 21 3'
_symmetry_Int_Tables_number 198
_symmetry_space_group_name_Hall 'P 2ac 2ab 3'
loop_
_atom_site_label
_atom_site_type_symbol
_atom_site_fract_x
_atom_site_fract_y
_atom_site_fract_z
Rb1 Rb 0.073 0.427 0.573
Rb2 Rb 0.199 0.801 0.301
Mg1 Mg 0.088 0.588 0.912
Mg2 Mg 0.135 0.135 0.135
W1 W 0.051 0.778 0.629
O1 O 0.002 0.933 0.646
O2 O 0.020 0.542 0.304
O3 O 0.028 0.705 0.774
O4 O 0.077 0.293 0.230
# Raw formation energy (eV/atom): -2.30
# Raw total energy (eV/atom): -8.083

# Mg5Co | Alexandria | PBEsol | optimized geometry
data_Mg5Co
_chemical_formula_sum 'Mg5 Co1'
_cell_length_a 3.128
_cell_length_b 3.128
_cell_length_c 11.699
_cell_angle_alpha 90.00
_cell_angle_beta 90.00
_cell_angle_gamma 90.00
_symmetry_space_group_name_H-M 'P 4/m m m'
_symmetry_Int_Tables_number 123
_symmetry_space_group_name_Hall '-P 4 2'
loop_
_atom_site_label
_atom_site_type_symbol
_atom_site_fract_x
_atom_site_fract_y
_atom_site_fract_z
Mg1 Mg 0.000 0.000 0.000
Mg2 Mg 0.000 0.000 0.380
Mg3 Mg 0.500 0.500 0.191
Co1 Co 0.500 0.500 0.500
# Raw total energy (eV/atom): -2.636
# Calculated formation energy (meV/atom): 85

# NiIrOs | Alexandria | PBEsol | optimized geometry
data_NiIrOs
_chemical_formula_sum 'Ni2 Ir2 Os2'
_cell_length_a 2.686
_cell_length_b 3.678
_cell_length_c 7.812
_cell_angle_alpha 90.00
_cell_angle_beta 90.00
_cell_angle_gamma 90.00
_symmetry_space_group_name_H-M 'I m m 2'
_symmetry_Int_Tables_number 44
_symmetry_space_group_name_Hall 'I 2 -2'
loop_
_atom_site_label
_atom_site_type_symbol
_atom_site_fract_x
_atom_site_fract_y
_atom_site_fract_z
Ni1 Ni 0.000 0.000 0.000
Ir1 Ir 0.000 0.000 0.669
Os1 Os 0.000 0.000 0.337
# Raw total energy (eV/atom): -9.399
# Calculated formation energy (meV/atom): 0

# LiAgF2 | Alexandria | PBEsol | optimized geometry
data_LiAgF2
_chemical_formula_sum 'Li3 Ag3 F6'
_cell_length_a 2.9471
_cell_length_b 2.9471
_cell_length_c 18.6292
_cell_angle_alpha 90.00
_cell_angle_beta 90.00
_cell_angle_gamma 120.00
_symmetry_space_group_name_H-M 'R -3 m'
_symmetry_Int_Tables_number 166
_symmetry_space_group_name_Hall '-R 3 2"'
loop_
_atom_site_label
_atom_site_type_symbol
_atom_site_fract_x
_atom_site_fract_y
_atom_site_fract_z
Li1 Li 0.0000 0.0000 0.0000
Ag1 Ag 0.0000 0.0000 0.5000
F1 F 0.0000 0.0000 0.3902
# Raw formation energy (eV/atom): -1.95
# Raw total energy (eV/atom): -4.233

# ZnSb2 | Alexandria | PBEsol | optimized geometry
data_ZnSb2
_chemical_formula_sum 'Zn1 Sb2'
_cell_length_a 5.2806
_cell_length_b 5.2806
_cell_length_c 3.0085
_cell_angle_alpha 90.00
_cell_angle_beta 90.00
_cell_angle_gamma 120.00
_symmetry_space_group_name_H-M 'P 6/m m m'
_symmetry_Int_Tables_number 191
_symmetry_space_group_name_Hall '-P 6 2'
loop_
_atom_site_label
_atom_site_type_symbol
_atom_site_fract_x
_atom_site_fract_y
_atom_site_fract_z
Zn1 Zn 0.0000 0.0000 0.0000
Sb1 Sb 0.3333 0.6667 0.5000
# Raw formation energy (eV/atom): 0.25
# Raw total energy (eV/atom): -3.312

# YPt3 | Alexandria | PBEsol | optimized geometry
data_YPt3
_chemical_formula_sum 'Y4 Pt12'
_cell_length_a 4.054
_cell_length_b 4.054
_cell_length_c 16.423
_cell_angle_alpha 90.00
_cell_angle_beta 90.00
_cell_angle_gamma 90.00
_symmetry_space_group_name_H-M 'I 4/m m m'
_symmetry_Int_Tables_number 139
_symmetry_space_group_name_Hall '-I 4 2'
loop_
_atom_site_label
_atom_site_type_symbol
_atom_site_fract_x
_atom_site_fract_y
_atom_site_fract_z
Y1 Y 0.000 0.000 0.125
Pt1 Pt 0.000 0.000 0.378
Pt2 Pt 0.000 0.500 0.000
Pt3 Pt 0.000 0.500 0.250
# Raw total energy (eV/atom): -7.843
# Calculated formation energy (meV/atom): -915

# Bi3ClO | Alexandria | PBEsol | optimized geometry
data_Bi3ClO
_chemical_formula_sum 'Bi3 Cl1 O1'
_cell_length_a 5.411
_cell_length_b 5.411
_cell_length_c 5.411
_cell_angle_alpha 90.00
_cell_angle_beta 90.00
_cell_angle_gamma 90.00
_symmetry_space_group_name_H-M 'P m -3 m'
_symmetry_Int_Tables_number 221
_symmetry_space_group_name_Hall '-P 4 2 3'
loop_
_atom_site_label
_atom_site_type_symbol
_atom_site_fract_x
_atom_site_fract_y
_atom_site_fract_z
Bi1 Bi 0.000 0.000 0.500
Cl1 Cl 0.000 0.000 0.000
O1 O 0.500 0.500 0.500
# Raw formation energy (eV/atom): 1.10
# Raw total energy (eV/atom): -2.925